No. 1
Dy7Er5 after structural relaxation, computed with PBE.

Computed properties:
- formation energy from the elements (eV per atom) = 0.19
- symmetry = C2/m (12)
- ρ (g/cm3) = 8.6
- energy relative to the lowest polymorph listed for this composition (eV per atom) = 0.1899
- uncorrected energy (eV for the cell shown) = -52.7

Cell lengths 5.5348, 5.5348, 14.5634 Å; angles 101.08, 101.08, 60.75 degrees
Closest atoms and distances in Å follow each position.
Fractional positions:
Dy  0.0000  0.0000  0.0000  6 Er 3.31-3.32
Dy  0.1890  0.1890  0.5796  6 Er 3.39-3.64, 4 Dy 3.52-3.77
Dy  0.2685  0.2685  0.8274  4 Er 3.30-3.61, 4 Dy 3.52-3.63
Dy  0.4417  0.4417  0.2870  5 Er 3.03-3.23
Dy  0.5583  0.5583  0.7130  5 Er 3.03-3.23
Dy  0.7315  0.7315  0.1726  4 Er 3.30-3.61, 4 Dy 3.52-3.63
Dy  0.8110  0.8110  0.4204  6 Er 3.39-3.64, 4 Dy 3.52-3.77
Er  0.1125  0.1125  0.3058  5 Dy 3.22-3.58
Er  0.3548  0.3548  0.0595  8 Dy 3.23-3.61, 1 Er 3.58
Er  0.5000  0.5000  0.5000  2 Dy 3.03
Er  0.6452  0.6452  0.9405  8 Dy 3.23-3.61, 1 Er 3.58
Er  0.8875  0.8875  0.6942  5 Dy 3.22-3.58

=====

No. 2
Li2AgSn after structural relaxation, computed with PBE.

Computed properties:
- formation energy from the elements (eV per atom) = -0.37
- symmetry = F-43m (216)
- ρ (g/cm3) = 5.6
- uncorrected energy (eV for the cell shown) = -48.6

Cell lengths 6.5766, 6.5766, 6.5766 Å; angles 90.00, 90.00, 90.00 degrees
Closest atoms and distances in Å follow each position.
Fractional positions:
Li  0.0000  0.0000  0.0000  4 Sn 2.85, 4 Li 2.85
Li  0.0000  0.5000  0.5000  4 Sn 2.85, 4 Li 2.85
Li  0.2500  0.2500  0.2500  4 Li 2.85, 4 Ag 2.85
Li  0.2500  0.7500  0.7500  4 Li 2.85, 4 Ag 2.85
Li  0.5000  0.0000  0.5000  4 Sn 2.85, 4 Li 2.85
Li  0.5000  0.5000  0.0000  4 Sn 2.85, 4 Li 2.85
Li  0.7500  0.2500  0.7500  4 Li 2.85, 4 Ag 2.85
Li  0.7500  0.7500  0.2500  4 Li 2.85, 4 Ag 2.85
Ag  0.0000  0.0000  0.5000  4 Li 2.85, 4 Sn 2.85
Ag  0.0000  0.5000  0.0000  4 Li 2.85, 4 Sn 2.85
Ag  0.5000  0.0000  0.0000  4 Li 2.85, 4 Sn 2.85
Ag  0.5000  0.5000  0.5000  4 Li 2.85, 4 Sn 2.85
Sn  0.2500  0.2500  0.7500  4 Ag 2.85, 4 Li 2.85
Sn  0.2500  0.7500  0.2500  4 Ag 2.85, 4 Li 2.85
Sn  0.7500  0.2500  0.2500  4 Ag 2.85, 4 Li 2.85
Sn  0.7500  0.7500  0.7500  4 Ag 2.85, 4 Li 2.85

=====

No. 3
Ce2GaAs4 after structural relaxation, computed with PBE.

Computed properties:
- formation energy from the elements (eV per atom) = -0.84
- symmetry = P-4m2 (115)
- ρ (g/cm3) = 6.7
- uncorrected energy (eV for the cell shown) = -39.4

Cell lengths 4.0301, 4.0301, 9.9378 Å; angles 90.00, 90.00, 90.00 degrees
Closest atoms and distances in Å follow each position.
Fractional positions:
Ce  0.0000  0.5000  0.2306  8 As 3.05, 2 Ga 3.35
Ce  0.5000  0.0000  0.7694  8 As 3.05, 2 Ga 3.35
Ga  0.0000  0.0000  0.5000  4 As 2.56
As  0.0000  0.0000  0.0000  4 As 2.85, 4 Ce 3.05
As  0.0000  0.5000  0.6596  2 Ga 2.56
As  0.5000  0.0000  0.3404  2 Ga 2.56
As  0.5000  0.5000  0.0000  4 As 2.85, 4 Ce 3.05

=====

No. 4
Li2YPaSe4 after structural relaxation, computed with PBE.

Computed properties:
- E_form (uncorrected) (kcal/mol of atoms) = -33.8
- symmetry = P2/m (10)
- ρ (g/cm3) = 5.8
- uncorrected energy (eV for the cell shown) = -45.5

Cell lengths 6.9863, 4.0055, 7.0362 Å; angles 90.00, 109.30, 90.00 degrees
Closest atoms and distances in Å follow each position.
Fractional positions:
Li  0.0000  0.0000  0.0000  6 Se 2.82-2.83
Li  0.0000  0.5000  0.5000  6 Se 2.80-2.84
Y  0.5000  0.0000  0.5000  6 Se 2.88-2.89
Pa  0.5000  0.5000  0.0000  6 Se 2.88-2.90
Se  0.2380  0.0000  0.7436  3 Li 2.80-2.83, 1 Y 2.89, 2 Pa 2.90
Se  0.2426  0.5000  0.2466  3 Li 2.82-2.84, 2 Y 2.88, 1 Pa 2.88
Se  0.7574  0.5000  0.7534  3 Li 2.82-2.84, 2 Y 2.88, 1 Pa 2.88
Se  0.7620  0.0000  0.2564  3 Li 2.80-2.83, 1 Y 2.89, 2 Pa 2.90

=====

No. 5
K8S2O after structural relaxation, computed with PBE.

Computed properties:
- E_form (uncorrected) (kcal/mol of atoms) = -17.8
- symmetry = C2/m (12)
- ρ (g/cm3) = 1.6
- uncorrected energy (eV for the cell shown) = -30.5

Cell lengths 9.0213, 9.0213, 9.1112 Å; angles 98.47, 98.47, 33.62 degrees
Closest atoms and distances in Å follow each position.
Fractional positions:
K  0.0559  0.0559  0.2382  1 O 2.71
K  0.1857  0.1857  0.5697  1 O 3.17, 3 S 3.18-3.22, 3 K 3.46-3.47
K  0.3150  0.3150  0.9410  3 S 3.24-3.25
K  0.4333  0.4333  0.3543  2 O 3.07, 1 S 3.18, 1 K 3.24
K  0.5667  0.5667  0.6457  2 O 3.07, 1 S 3.18, 1 K 3.24
K  0.6850  0.6850  0.0590  3 S 3.24-3.25
K  0.8143  0.8143  0.4303  1 O 3.17, 3 S 3.18-3.22, 3 K 3.46-3.47
K  0.9441  0.9441  0.7618  1 O 2.71
S  0.2486  0.2486  0.2550  8 K 3.18-3.31
S  0.7514  0.7514  0.7450  8 K 3.18-3.31
O  0.0000  0.0000  0.5000  2 K 2.71

=====

No. 6
AcPd6Pt6 after structural relaxation, computed with PBE.

Computed properties:
- formation energy from the elements (eV per atom) = -0.34
- symmetry = Immm (71)
- ρ (g/cm3) = 14.9
- uncorrected energy (eV for the cell shown) = -75.9

Cell lengths 7.0396, 7.0396, 7.0396 Å; angles 135.28, 98.53, 98.12 degrees
Closest atoms and distances in Å follow each position.
Fractional positions:
Ac  0.0000  0.0000  0.0000  8 Pd 3.21-3.31, 12 Pt 3.41-3.52
Pd  0.2117  0.7117  0.5000  6 Pt 2.68-2.87, 4 Pd 2.97-3.00
Pd  0.3493  0.0000  0.3493  3 Pd 2.77-3.00, 6 Pt 2.82-2.90
Pd  0.3502  0.3502  0.0000  3 Pd 2.76-2.97, 6 Pt 2.82-2.84
Pd  0.6498  0.6498  0.0000  3 Pd 2.76-2.97, 6 Pt 2.82-2.84
Pd  0.6507  0.0000  0.6507  3 Pd 2.77-3.00, 6 Pt 2.82-2.90
Pd  0.7883  0.2883  0.5000  6 Pt 2.68-2.87, 4 Pd 2.97-3.00
Pt  0.0000  0.0000  0.5000  4 Pt 2.67-2.68, 6 Pd 2.68-2.82
Pt  0.0000  0.5000  0.0000  4 Pt 2.67-2.68, 6 Pd 2.68-2.82
Pt  0.2296  0.5000  0.7296  4 Pt 2.67, 6 Pd 2.84-2.90
Pt  0.5000  0.0000  0.0000  4 Pt 2.67-2.68, 6 Pd 2.68-2.82
Pt  0.5000  0.5000  0.5000  4 Pt 2.67-2.68, 6 Pd 2.68-2.82
Pt  0.7704  0.5000  0.2704  4 Pt 2.67, 6 Pd 2.84-2.90

=====

The highest uncorrected energy belongs to which entry? K8S2O

=====

What is the formula in the first record? Dy7Er5